SnAsHOs | PBE | relaxed

Computed properties:
The density of states at the Fermi level is 0.201 states/eV/atom. Its magnetic moment is 0.0000 μB/atom. As for the space group: No. 8. As for the energy above the most stable polymorph in this dataset: 13 meV per atom.

Unit cell a=6.3644 b=3.1910 c=8.5650 alpha=90.00 beta=131.46 gamma=90.00
Sites, in units of the cell vectors:
Sn 0.8839 0.0000 0.7360
Sn 0.8839 0.5000 0.2360
As 0.2960 0.0000 0.7257
As 0.2960 0.5000 0.2257
H 0.6943 0.0000 0.3503
H 0.6943 0.5000 0.8503
Os 0.4432 0.0000 0.0912
Os 0.4432 0.5000 0.5912